1.
! CsNaPb6 | Alexandria | PBE | optimized geometry; values from VASP
! energy relative to the elements: -0.055 eV per atom
! crystal system: orthorhombic
! size of the total moment: 0.00 μB/f.u.
! N(E_F): 3.10 states/eV per cell
&SYSTEM
  ibrav = 0, nat = 8, ntyp = 3
/
ATOMIC_SPECIES
Cs 132.91 Cs.upf
Na 22.99 Na.upf
Pb 207.20 Pb.upf
ATOMIC_POSITIONS crystal
Cs 0.000 0.657 0.000
Na 0.500 0.366 0.500
Pb 0.500 0.859 0.290
Pb 0.000 0.165 0.713
Pb 0.000 0.165 0.287
Pb 0.500 0.859 0.710
Pb 0.000 0.705 0.500
Pb 0.500 0.222 0.000
CELL_PARAMETERS angstrom
5.644 0.000 0.000
0.000 6.425 0.000
0.000 0.000 7.725

=====

2.
! CaPm4Nd2 | Alexandria | PBE | optimized geometry; values from VASP
! energy relative to the elements: 0.028 eV per atom
! crystal system: trigonal
! size of the total moment: 0.00 μB/f.u.
! N(E_F): 10.49 states/eV per cell
&SYSTEM
  ibrav = 0, nat = 7, ntyp = 3
/
ATOMIC_SPECIES
Ca 40.08 Ca.upf
Pm 145.00 Pm.upf
Nd 144.24 Nd.upf
ATOMIC_POSITIONS crystal
Ca 0.000 0.000 0.000
Pm 0.144 0.144 0.569
Pm 0.283 0.283 0.151
Pm 0.717 0.717 0.849
Pm 0.856 0.856 0.431
Nd 0.429 0.429 0.712
Nd 0.571 0.571 0.288
CELL_PARAMETERS angstrom
3.679 0.000 0.000
1.840 3.186 0.000
1.840 1.062 21.221

=====

3.
! NaGa2Hg2 | Alexandria | PBE | optimized geometry; values from VASP
! energy relative to the elements: -0.063 eV per atom
! offset from the most stable computed form: 0.000 eV/atom
! crystal system: tetragonal
! size of the total moment: 0.00 μB/f.u.
! N(E_F): 1.98 states/eV per cell
&SYSTEM
  ibrav = 0, nat = 5, ntyp = 3
/
ATOMIC_SPECIES
Na 22.99 Na.upf
Hg 200.59 Hg.upf
Ga 69.72 Ga.upf
ATOMIC_POSITIONS crystal
Na 0.000 0.000 0.000
Hg 0.396 0.396 0.207
Hg 0.604 0.604 0.793
Ga 0.750 0.250 0.500
Ga 0.250 0.750 0.500
CELL_PARAMETERS angstrom
4.144 0.000 0.000
0.000 4.144 0.000
2.072 2.072 6.885

=====

4.
! CdIn4W | Alexandria | PBE | optimized geometry; values from VASP
! energy relative to the elements: 0.817 eV per atom
! crystal system: cubic
! size of the total moment: 0.00 μB/f.u.
! N(E_F): 2.31 states/eV per cell
&SYSTEM
  ibrav = 0, nat = 6, ntyp = 3
/
ATOMIC_SPECIES
Cd 112.41 Cd.upf
In 114.82 In.upf
W 183.84 W.upf
ATOMIC_POSITIONS crystal
Cd 0.000 0.000 0.000
In 0.875 0.375 0.375
In 0.375 0.375 0.875
In 0.375 0.875 0.375
In 0.375 0.375 0.375
W 0.750 0.750 0.750
CELL_PARAMETERS angstrom
0.000 4.072 4.072
4.072 0.000 4.072
4.072 4.072 0.000

=====

5.
! Pr8Ho4Er | Alexandria | PBE | optimized geometry; values from VASP
! energy relative to the elements: 0.190 eV per atom
! crystal system: trigonal
! size of the total moment: 0.00 μB/f.u.
! N(E_F): 14.02 states/eV per cell
&SYSTEM
  ibrav = 0, nat = 13, ntyp = 3
/
ATOMIC_SPECIES
Pr 140.91 Pr.upf
Ho 164.93 Ho.upf
Er 167.26 Er.upf
ATOMIC_POSITIONS crystal
Pr 0.577 0.788 0.365
Pr 0.423 0.212 0.635
Pr 0.498 0.249 0.288
Pr 0.961 0.210 0.712
Pr 0.502 0.751 0.712
Pr 0.961 0.751 0.712
Pr 0.039 0.249 0.288
Pr 0.039 0.790 0.288
Ho 0.000 0.000 0.000
Ho 0.000 0.500 0.000
Ho 0.500 0.500 0.000
Ho 0.500 0.000 0.000
Er 0.000 0.500 0.500
CELL_PARAMETERS angstrom
6.404 -0.001 -3.455
-4.134 5.988 -0.001
1.551 1.071 10.536

=====

6.
! AcTb2Pm3Se6 | Alexandria | PBE | optimized geometry; values from VASP
! ΔE_f (raw): -1.8045 eV per atom
! crystal system: monoclinic
! size of the total moment: 0.00 μB/f.u.
! N(E_F): 5.81 states/eV per cell
&SYSTEM
  ibrav = 0, nat = 12, ntyp = 4
/
ATOMIC_SPECIES
Ac 227.00 Ac.upf
Tb 158.93 Tb.upf
Pm 145.00 Pm.upf
Se 78.96 Se.upf
ATOMIC_POSITIONS crystal
Ac 0.000 0.000 0.000
Tb 0.333 0.667 0.000
Tb 0.667 0.333 0.000
Pm 0.158 0.842 0.500
Pm 0.842 0.158 0.500
Pm 0.500 0.500 0.500
Se 0.916 0.567 0.748
Se 0.731 0.731 0.243
Se 0.084 0.433 0.252
Se 0.567 0.916 0.748
Se 0.269 0.269 0.757
Se 0.433 0.084 0.252
CELL_PARAMETERS angstrom
7.306 -0.013 -0.006
-3.662 6.321 -0.006
-1.221 -2.113 6.870

=====

no.,E_tot (eV per cell)
1,-24.86
2,-30.34
3,-8.29
4,-19.92
5,-58.63
6,-70.18